No. 1
The following is a DFT calculation (PBE-GGA) of CoAs3 after structural relaxation.

- Formation energy: 0.274 eV per atom
- Energy above the lowest structure with this stoichiometry: 581.8 meV per atom
- DOS(E_F): 7.949 states/eV/cell

a = 7.4384 Å, b = 8.0141 Å, c = 5.0297 Å
α = 90.00°, β = 90.00°, γ = 90.00°
Space group Cmcm (No. 63)
Symmetry-distinct sites (fractional):
Co1 0.0000 0.0076 0.2500 x4
As1 0.0000 0.4879 0.2500 x4
As2 0.2225 0.1928 0.7500 x8

No. 2
The following is a DFT calculation (PBE-GGA) of CoAs2 after structural relaxation.

- Formation energy: -0.028 eV per atom
- DOS(E_F): 5.662 states/eV/cell

a = 2.8735 Å, b = 2.8735 Å, c = 12.0683 Å
α = 90.00°, β = 90.00°, γ = 90.00°
Space group I4/mmm (No. 139)
Symmetry-distinct sites (fractional):
Co1 0.0000 0.0000 0.0000 x2
As1 0.0000 0.0000 0.3756 x4

No. 3
The following is a DFT calculation (PBE-GGA) of CoAs2 after structural relaxation.

- Formation energy: 0.028 eV per atom
- DOS(E_F): 10.809 states/eV/cell

a = 5.8178 Å, b = 5.8178 Å, c = 5.3471 Å
α = 90.00°, β = 90.00°, γ = 90.00°
Space group I4/mcm (No. 140)
Symmetry-distinct sites (fractional):
Co1 0.0000 0.0000 0.2500 x4
As1 0.1616 0.3384 0.0000 x8

- What is the formation energy in the second record?
  -0.028 eV per atom